DFT (PBE) results for crystalline ZnCrTc2 at its relaxed geometry.

abc: 2.7085 2.7085 26.3943
angles: 90.00 90.00 120.00
Space group R3m (No. 160, hexagonal axes)
Symmetry-distinct sites (fractional):
Zn: 0.0000 0.0000 0.0000 (multiplicity 3)
Cr: 0.0000 0.0000 0.7493 (multiplicity 3)
Tc: 0.0000 0.0000 0.2463 (multiplicity 3)
Tc: 0.0000 0.0000 0.4973 (multiplicity 3)

Results
calculated density: 9.31 g/cm³
E_form: 0.166 eV per atom
V: 168 Å³/cell

---

DFT (PBE) results for crystalline ZnCrTc2 at its relaxed geometry.

abc: 3.002 4.324 8.583
angles: 90.00 90.00 90.00
Space group Cmmm (No. 65)
Symmetry-distinct sites (fractional):
Zn: 0.000 0.000 0.000 (multiplicity 2)
Cr: 0.000 0.000 0.500 (multiplicity 2)
Tc: 0.000 0.500 0.264 (multiplicity 4)

Results
calculated density: 9.34 g/cm³
E_form: 0.131 eV per atom
V: 111 Å³/cell

---

DFT (PBE) results for crystalline ZnCrTc at its relaxed geometry.

abc: 2.960 4.308 12.910
angles: 90.00 90.00 90.00
Space group Fmm2 (No. 42)
Symmetry-distinct sites (fractional):
Zn: 0.000 0.000 0.000 (multiplicity 4)
Cr: 0.000 0.000 0.667 (multiplicity 4)
Tc: 0.000 0.000 0.321 (multiplicity 4)

Results
calculated density: 8.69 g/cm³
distance to the lowest polymorph of the same formula: 128 meV/atom
E_form: 0.176 eV per atom
V: 165 Å³/cell

---

DFT (PBE) results for crystalline ZnCr2Tc2 at its relaxed geometry.

abc: 3.852 3.852 10.654
angles: 90.00 90.00 90.00
Space group I4/mmm (No. 139)
Symmetry-distinct sites (fractional):
Zn: 0.000 0.000 0.000 (multiplicity 2)
Cr: 0.000 0.500 0.250 (multiplicity 4)
Tc: 0.000 0.000 0.381 (multiplicity 4)

Results
calculated density: 7.68 g/cm³
distance to the lowest polymorph of the same formula: 227 meV/atom
E_form: 0.500 eV per atom
V: 158 Å³/cell

---

DFT (PBE) results for crystalline ZnCrTc2 at its relaxed geometry.

abc: 3.786 3.786 7.646
angles: 90.00 90.00 90.00
Space group I4/mmm (No. 139)
Symmetry-distinct sites (fractional):
Zn: 0.000 0.000 0.000 (multiplicity 2)
Cr: 0.000 0.000 0.500 (multiplicity 2)
Tc: 0.000 0.500 0.250 (multiplicity 4)

Results
calculated density: 9.50 g/cm³
E_form: 0.211 eV per atom
V: 110 Å³/cell

---

DFT (PBE) results for crystalline ZnCrTc at its relaxed geometry.

abc: 5.739 5.739 5.739
angles: 90.00 90.00 90.00
Space group F-43m (No. 216)
Symmetry-distinct sites (fractional):
Zn: 0.000 0.000 0.000 (multiplicity 4)
Cr: 0.250 0.250 0.750 (multiplicity 4)
Tc: 0.000 0.000 0.500 (multiplicity 4)

Results
calculated density: 7.57 g/cm³
distance to the lowest polymorph of the same formula: 528 meV/atom
E_form: 0.575 eV per atom
V: 189 Å³/cell